Record 1
{"formula": "GaReP2S", "functional": "PBE-GGA", "state": "relaxed", "e_above_lowest_polymorph_mev_per_atom": 1059.1, "m_tot_mub_per_cell": 2.5, "raw_formation_energy_kcal_per_mol_atoms": 34.8, "final_energy_ev_per_atom": -4.574, "lattice_angstrom": [[4.5528, 0.0000, 0.0000], [0.0000, 4.5528, 0.0000], [0.0000, 0.0000, 4.6282]], "species": ["P", "P", "Re", "Ga", "S"], "fractional_positions": [[0.0000, 0.5000, 0.0000], [0.5000, 0.0000, 0.0000], [0.5000, 0.5000, 0.5000], [0.0000, 0.0000, 0.0000], [0.0000, 0.0000, 0.5000]]}



Record 2
{"formula": "Mg2HgSe3", "functional": "PBE-GGA", "state": "relaxed", "m_tot_mub_per_cell": 0.0, "raw_formation_energy_kcal_per_mol_atoms": -20.7, "final_energy_ev_per_atom": -3.223, "lattice_angstrom": [[7.3363, -0.0111, -1.2613], [-3.9872, 6.1582, -1.2613], [0.0068, 0.0125, 7.4666]], "species": ["Se", "Se", "Se", "Se", "Se", "Se", "Mg", "Mg", "Mg", "Mg", "Hg", "Hg"], "fractional_positions": [[0.0562, 0.2327, 0.3927], [0.8836, 0.3985, 0.8773], [0.3985, 0.8836, 0.3773], [0.7080, 0.5407, 0.3772], [0.2327, 0.0562, 0.8927], [0.5407, 0.7080, 0.8772], [0.7597, 0.2625, 0.5082], [0.2625, 0.7597, 0.0082], [0.4324, 0.5973, 0.5082], [0.5973, 0.4324, 0.0082], [0.9253, 0.0980, 0.0076], [0.0980, 0.9253, 0.5076]]}



Record 3
{"formula": "PrHo2Bi", "functional": "PBE-GGA", "state": "relaxed", "ef_ev_per_atom": -0.401, "e_above_lowest_polymorph_mev_per_atom": 0.0, "m_tot_mub_per_cell": 1.5, "final_energy_ev_per_atom": -4.855, "lattice_angstrom": [[-3.1851, 1.5070, -2.2185], [2.5226, -5.1950, -3.2428], [-6.1365, -5.9543, 4.7651]], "species": ["Ho", "Ho", "Ho", "Ho", "Bi", "Bi", "Pr", "Pr"], "fractional_positions": [[0.3645, 0.7290, 0.9616], [0.6355, 0.2710, 0.0384], [0.3645, 0.7290, 0.5384], [0.6355, 0.2710, 0.4616], [0.7648, 0.5295, 0.7500], [0.2352, 0.4705, 0.2500], [0.9466, 0.8933, 0.2500], [0.0534, 0.1067, 0.7500]]}



Record 4
{"formula": "LiPd4Pt5", "functional": "PBE-GGA", "state": "relaxed", "ef_ev_per_atom": 0.054, "m_tot_mub_per_cell": 0.0, "final_energy_ev_per_atom": -5.235, "lattice_angstrom": [[2.7238, 0.0000, 0.0000], [-1.3619, 6.5195, -2.3031], [0.0000, 0.8706, 8.9380]], "species": ["Pt", "Pt", "Pt", "Pt", "Pt", "Pd", "Pd", "Pd", "Pd", "Li"], "fractional_positions": [[0.1669, 0.3338, 0.4997], [0.8363, 0.6726, 0.0573], [0.8331, 0.6662, 0.5003], [0.1637, 0.3274, 0.9427], [0.5000, 0.0000, 0.5000], [0.6936, 0.3872, 0.2236], [0.0141, 0.0282, 0.2441], [0.9859, 0.9718, 0.7559], [0.3064, 0.6128, 0.7764], [0.5000, 0.0000, 0.0000]]}



Record 5
{"formula": "CePr3Nd12", "functional": "PBE-GGA", "state": "relaxed", "ef_ev_per_atom": 0.027, "m_tot_mub_per_cell": 0.9, "final_energy_ev_per_atom": -4.816, "lattice_angstrom": [[5.2052, 0.0000, 0.0000], [0.0000, 5.2052, 0.0000], [0.0000, 0.0000, 20.7904]], "species": ["Nd", "Nd", "Nd", "Nd", "Nd", "Nd", "Nd", "Nd", "Nd", "Nd", "Nd", "Nd", "Pr", "Pr", "Pr", "Ce"], "fractional_positions": [[0.5000, 0.0000, 0.1219], [0.5000, 0.0000, 0.6259], [0.0000, 0.5000, 0.3741], [0.0000, 0.5000, 0.8781], [0.5000, 0.5000, 0.2494], [0.5000, 0.0000, 0.3741], [0.5000, 0.5000, 0.5000], [0.0000, 0.5000, 0.1219], [0.5000, 0.5000, 0.7506], [0.5000, 0.5000, 0.0000], [0.5000, 0.0000, 0.8781], [0.0000, 0.5000, 0.6259], [0.0000, 0.0000, 0.2485], [0.0000, 0.0000, 0.7515], [0.0000, 0.0000, 0.5000], [0.0000, 0.0000, 0.0000]]}



Record 6
{"formula": "CeSm5Hg3", "functional": "PBE-GGA", "state": "relaxed", "ef_ev_per_atom": -0.253, "m_tot_mub_per_cell": 4.2, "final_energy_ev_per_atom": -3.635, "lattice_angstrom": [[-4.1035, -5.1627, -2.1985], [5.0891, -6.1067, 4.8414], [-7.3309, 4.1344, 3.9742]], "species": ["Hg", "Hg", "Hg", "Hg", "Hg", "Hg", "Sm", "Sm", "Sm", "Sm", "Sm", "Sm", "Sm", "Sm", "Sm", "Sm", "Ce", "Ce"], "fractional_positions": [[0.2500, 0.3433, 0.0000], [0.7500, 0.6567, 0.0000], [0.7500, 0.0000, 0.6567], [0.2500, 0.0000, 0.3433], [0.2500, 0.6567, 0.6567], [0.7500, 0.3433, 0.3433], [0.2500, 0.0001, 0.6759], [0.7500, 0.9999, 0.3241], [0.5000, 0.3333, 0.6667], [0.2500, 0.3242, 0.3241], [0.0000, 0.6667, 0.3333], [0.5000, 0.6667, 0.3333], [0.7500, 0.6758, 0.6759], [0.2500, 0.6757, 0.0000], [0.0000, 0.3333, 0.6667], [0.7500, 0.3243, 0.0000], [0.0000, 0.0000, 0.0000], [0.5000, 0.0000, 0.0000]]}



Record 7
{"formula": "Pr4RuSeCl2", "functional": "PBE-GGA", "state": "relaxed", "m_tot_mub_per_cell": 0.0, "raw_formation_energy_kcal_per_mol_atoms": -28.7, "final_energy_ev_per_atom": -5.692, "lattice_angstrom": [[-3.4566, 1.4490, 1.6589], [-1.2817, -6.7743, 3.2468], [4.0299, 4.0551, 4.8548]], "species": ["Pr", "Pr", "Pr", "Pr", "Ru", "Se", "Cl", "Cl"], "fractional_positions": [[0.5000, 0.7398, 0.7790], [0.5000, 0.2602, 0.2210], [0.0000, 0.2820, 0.7857], [0.0000, 0.7180, 0.2143], [0.5000, 0.5000, 0.0000], [0.0000, 0.0000, 0.0000], [0.0000, 0.5000, 0.5000], [0.5000, 0.0000, 0.5000]]}



Record 8
{"formula": "BaSnSe2", "functional": "PBE-GGA", "state": "relaxed", "m_tot_mub_per_cell": 0.0, "raw_formation_energy_kcal_per_mol_atoms": -26.3, "final_energy_ev_per_atom": -4.364, "lattice_angstrom": [[-2.1394, 1.6306, 3.5366], [1.1538, -1.3008, 4.0890], [4.6972, 5.8317, 2.9440]], "species": ["Se", "Se", "Sn", "Ba"], "fractional_positions": [[0.0762, 0.0762, 0.7713], [0.2570, 0.2570, 0.2289], [0.6676, 0.6676, 0.9970], [0.4991, 0.4991, 0.5027]]}



Record 9
{"formula": "Cs2InGeI6", "functional": "PBE-GGA", "state": "relaxed", "m_tot_mub_per_cell": 0.0, "raw_formation_energy_kcal_per_mol_atoms": -19.8, "final_energy_ev_per_atom": -2.697, "lattice_angstrom": [[8.6091, 0.0000, 0.0000], [0.0000, 8.6091, 0.0000], [4.3046, 4.3046, 6.0600]], "species": ["I", "I", "I", "I", "I", "I", "Ge", "In", "Cs", "Cs"], "fractional_positions": [[0.7460, 0.7460, 0.5080], [0.2545, 0.7455, 0.0000], [0.7455, 0.7455, 0.0000], [0.2540, 0.2540, 0.4920], [0.2545, 0.2545, 0.0000], [0.7455, 0.2545, 0.0000], [0.5000, 0.5000, 0.0000], [0.0000, 0.0000, 0.0000], [0.2500, 0.7500, 0.5000], [0.7500, 0.2500, 0.5000]]}



Record 10
{"formula": "CeDyTmMg", "functional": "PBE-GGA", "state": "relaxed", "ef_ev_per_atom": 0.080, "m_tot_mub_per_cell": 1.3, "final_energy_ev_per_atom": -4.070, "lattice_angstrom": [[-0.2693, -1.5066, 5.2570], [-0.7268, -5.2677, 1.3044], [4.0980, -2.8556, 2.2428]], "species": ["Mg", "Dy", "Tm", "Ce"], "fractional_positions": [[0.0000, 0.0000, 0.0000], [0.2500, 0.2500, 0.2500], [0.5000, 0.5000, 0.5000], [0.7500, 0.7500, 0.7500]]}



Record 11
{"formula": "HfCo2Sb", "functional": "PBE-GGA", "state": "relaxed", "m_tot_mub_per_cell": 2.7, "raw_formation_energy_kcal_per_mol_atoms": 13.5, "final_energy_ev_per_atom": -6.488, "lattice_angstrom": [[4.8223, -1.6615, -2.8851], [-1.3894, 4.9076, 2.8851], [-3.2729, 0.0229, 4.8607]], "species": ["Co", "Co", "Hf", "Sb"], "fractional_positions": [[0.0000, 0.2477, 0.2477], [0.0000, 0.7523, 0.7523], [0.0000, 0.5000, 0.5000], [0.0000, 0.0000, 0.0000]]}



Record 12
{"formula": "ScAlCl2", "functional": "PBE-GGA", "state": "relaxed", "e_above_lowest_polymorph_mev_per_atom": 40.1, "m_tot_mub_per_cell": 0.1, "raw_formation_energy_kcal_per_mol_atoms": -22.8, "final_energy_ev_per_atom": -4.433, "lattice_angstrom": [[-9.0956, 4.5049, -0.5179], [-9.4813, 2.1748, -2.9442], [-10.0672, 1.3636, 0.2906]], "species": ["Sc", "Cl", "Cl", "Al"], "fractional_positions": [[0.2500, 0.2500, 0.2500], [0.5279, 0.5279, 0.5279], [0.9721, 0.9721, 0.9721], [0.7500, 0.7500, 0.7500]]}